# GGA-PBE CaCd2Cu, relaxed
data_CaCd2Cu
_symmetry_space_group_name_H-M 'P 4/m m m'
_symmetry_Int_Tables_number 123
_symmetry_space_group_name_Hall '-P 4 2'
_cell_length_a 4.410
_cell_length_b 4.410
_cell_length_c 4.648
_cell_angle_alpha 90.00
_cell_angle_beta 90.00
_cell_angle_gamma 90.00
loop_
_atom_site_label
_atom_site_type_symbol
_atom_site_fract_x
_atom_site_fract_y
_atom_site_fract_z
Ca1 Ca 0.000 0.000 0.000
Cd1 Cd 0.000 0.500 0.500
Cu1 Cu 0.500 0.500 0.000
# DFT total energy (eV per cell): -8.21
# Crystal system: tetragonal